Material: K6SeI2O
Method: DFT, PBE-GGA
State: optimized geometry

The calculation puts the uncorrected formation energy at -1209.5 meV/atom.

Cell and atoms, written as CIF:
```
data_K6SeI2O
_symmetry_space_group_name_H-M 'P m m n'
_symmetry_Int_Tables_number 59
_cell_length_a 8.0508
_cell_length_b 11.5314
_cell_length_c 8.3528
_cell_angle_alpha 90.00
_cell_angle_beta 90.00
_cell_angle_gamma 90.00
loop_
_symmetry_equiv_pos_as_xyz
'x,y,z'
'-x,-y,-z'
'-x+1/2,-y+1/2,z'
'x+1/2,y+1/2,-z'
'x+1/2,-y,-z'
'-x+1/2,y,z'
'-x,y+1/2,-z'
'x,-y+1/2,z'
loop_
_atom_site_label
_atom_site_type_symbol
_atom_site_fract_x
_atom_site_fract_y
_atom_site_fract_z
K1 K 0.0087 0.2500 0.0513
K2 K 0.0202 0.2500 0.4975
K3 K 0.2500 0.0203 0.2727
Se1 Se 0.2500 0.7500 0.2288
I1 I 0.2500 0.5128 0.7225
O1 O 0.2500 0.2500 0.2657
```